Entry one
Crystalline CaW2O4 at its relaxed geometry. Source: Alexandria, functional PBE with a Hubbard U.

Cell: 9.5873 3.2873 11.4877 Å, 90.00 90.00 90.00°
Closest atoms and distances in Å follow each position.
Space group Pnma (No. 62)
One atom of each set of equivalent atoms:
Ca 0.2380 0.2500 0.1537 x4  8 O 2.46-2.70
W 0.0591 0.2500 0.3823 x4  6 O 2.14-2.23
W 0.0899 0.2500 0.8979 x4  6 O 2.15-2.23
O 0.0344 0.7500 0.7870 x4  3 W 2.14-2.15
O 0.0855 0.2500 0.5738 x4  3 W 2.21
O 0.1211 0.7500 0.0271 x4  3 W 2.20-2.23
O 0.1978 0.7500 0.3217 x4  3 W 2.22-2.23

---

Entry two
Crystalline CaW2O4 at its relaxed geometry. Source: Alexandria, functional PBE with a Hubbard U.

Cell: 6.6425 6.6425 16.5369 Å, 90.00 90.00 120.00°
Closest atoms and distances in Å follow each position.
Space group R3m (No. 160, hexagonal axes)
One atom of each set of equivalent atoms:
Ca 0.0000 0.0000 0.0000 x3  6 O 2.34-2.40
Ca 0.0000 0.0000 0.3685 x3  4 O 2.27-2.31
W 0.0000 0.0000 0.5735 x3  3 O 2.02
W 0.1672 0.3344 0.8277 x9  6 O 2.15-2.27
O 0.0000 0.0000 0.2288 x3  3 W 2.22, 1 Ca 2.31
O 0.0000 0.0000 0.7690 x3  3 W 2.15
O 0.0258 0.5129 0.7593 x9  2 W 2.16, 2 Ca 2.27-2.34
O 0.1752 0.3505 0.5717 x9  1 W 2.02

---

Entry three
Crystalline CaW2O4 at its relaxed geometry. Source: Alexandria, functional PBE with a Hubbard U.

Cell: 9.3740 9.3740 9.3740 Å, 90.00 90.00 90.00°
Closest atoms and distances in Å follow each position.
Space group Fd-3m (No. 227, origin choice 2)
One atom of each set of equivalent atoms:
Ca 0.1250 0.1250 0.1250 x8  4 O 2.29
W 0.0000 0.0000 0.5000 x16  6 O 2.21
O 0.0158 0.0158 0.7342 x32  3 W 2.21, 1 Ca 2.29

---

Entry four
Crystalline CaW2O4 at its relaxed geometry. Source: Alexandria, functional PBE with a Hubbard U.

Cell: 3.2617 10.6540 10.5077 Å, 90.00 90.00 90.00°
Closest atoms and distances in Å follow each position.
Space group Cmcm (No. 63)
One atom of each set of equivalent atoms:
Ca 0.0000 0.1153 0.2500 x4  6 O 2.28-2.55
W 0.0000 0.3677 0.0714 x8  6 O 2.15-2.28
O 0.0000 0.0000 0.0000 x4  4 W 2.28
O 0.0000 0.2629 0.6102 x8  3 W 2.18-2.21
O 0.0000 0.4661 0.2500 x4  2 W 2.15, 2 Ca 2.28

---

entry three is preferred energetically. Next in line: 1.7 kJ/mol of atoms higher.